A plane-wave DFT calculation with PBE was carried out for a geometry-optimized AlCrRh2W structure.

Output
Formation energy from the elements (eV per atom): 1.05

abc: 4.427 4.524 4.427
angles: 90.00 90.00 90.00
Element x y z (fractional)
Rh (0.500, 0.000, 0.000)
Rh (0.000, 0.000, 0.500)
Cr (0.000, 0.000, 0.000)
Al (0.500, 0.500, 0.500)
W (0.000, 0.500, 0.000)

=====

A plane-wave DFT calculation with PBE was carried out for a geometry-optimized Rb3NpSe4 structure.

Output
Uncorrected formation energy (eV/atom): -0.894

abc: 8.626 8.626 8.626
angles: 90.00 90.00 90.00
Element x y z (fractional)
Se (0.176, 0.176, 0.176)
Se (0.824, 0.824, 0.176)
Se (0.824, 0.176, 0.824)
Se (0.176, 0.824, 0.824)
Rb (0.000, 0.000, 0.500)
Rb (0.500, 0.000, 0.000)
Rb (0.000, 0.500, 0.000)
Np (0.000, 0.000, 0.000)

=====

A plane-wave DFT calculation with PBE was carried out for a geometry-optimized PdAu3N structure.

Output
Uncorrected formation energy (eV/atom): 0.647

abc: 4.331 4.331 4.331
angles: 90.00 90.00 90.00
Element x y z (fractional)
Pd (0.500, 0.500, 0.500)
Au (0.000, 0.000, 0.500)
Au (0.000, 0.500, 0.000)
Au (0.500, 0.000, 0.000)
N (0.000, 0.000, 0.000)

=====

A plane-wave DFT calculation with PBE was carried out for a geometry-optimized CeScMnRu structure.

Output
Formation energy from the elements (eV per atom): -0.15

abc: 4.721 4.721 4.721
angles: 60.00 60.00 60.00
Element x y z (fractional)
Sc (0.250, 0.250, 0.250)
Mn (0.500, 0.500, 0.500)
Ru (0.000, 0.000, 0.000)
Ce (0.750, 0.750, 0.750)

=====

A plane-wave DFT calculation with PBE was carried out for a geometry-optimized Zn4Cu5Ag structure.

Output
Formation energy from the elements (eV per atom): -0.05

abc: 2.992 2.992 14.986
angles: 90.00 90.00 90.00
Element x y z (fractional)
Zn (0.000, 0.000, 0.791)
Zn (0.000, 0.000, 0.209)
Zn (0.000, 0.000, 0.597)
Zn (0.000, 0.000, 0.403)
Cu (0.500, 0.500, 0.306)
Cu (0.500, 0.500, 0.885)
Cu (0.500, 0.500, 0.694)
Cu (0.500, 0.500, 0.115)
Cu (0.500, 0.500, 0.500)
Ag (0.000, 0.000, 0.000)

=====

A plane-wave DFT calculation with PBE was carried out for a geometry-optimized TlSiRu2 structure.

Output
Uncorrected formation energy (eV/atom): 0.235

abc: 5.160 5.160 5.160
angles: 146.00 120.91 69.95
Element x y z (fractional)
Ru (0.966, 0.966, 0.000)
Ru (0.534, 0.534, 0.000)
Si (0.750, 0.250, 0.500)
Tl (0.250, 0.750, 0.500)